Crystalline CeTaInO6 at its relaxed geometry. Source: the Alexandria database, functional GGA-PBE.

Cell lengths 5.4269, 5.4269, 9.7652 Å; angles 90.00, 90.00, 120.00 degrees
Fractional coordinates of all 18 atoms:
Ce 0.0000 0.0000 0.0000
Ce 0.0000 0.0000 0.5000
Ta 0.6667 0.3333 0.2500
Ta 0.3333 0.6667 0.7500
In 0.3333 0.6667 0.2500
In 0.6667 0.3333 0.7500
O 0.6663 0.6404 0.1346
O 0.9741 0.3337 0.1346
O 0.3337 0.9741 0.6346
O 0.0259 0.6663 0.8654
O 0.3596 0.3337 0.3654
O 0.9741 0.6404 0.3654
O 0.6404 0.9741 0.8654
O 0.6663 0.0259 0.3654
O 0.0259 0.3596 0.6346
O 0.3596 0.0259 0.1346
O 0.6404 0.6663 0.6346
O 0.3337 0.3596 0.8654

- DFT total energy (eV/atom) = -8.1999
- energy relative to the elements, uncorrected (kJ per mole of atoms) = -252
- total magnetization (μB/atom) = 0.000